DFT (PBE) results for a relaxed SrTlCd2Ni crystal.

## Properties
- space group = P4/mmm (123)
- ΔE to the lowest computed polymorph (eV per atom) = 0.116
- calculated volume (Å³ per atom) = 28.19
- ΔE_f (kJ per mole of atoms) = -2

abc: 5.0987 5.0987 5.4224
angles: 90.00 90.00 90.00
Last column: nearest neighbours and their distance in Å.
Positions (direct):
Sr 0.0000 0.0000 0.0000  2 Ni 2.71
Tl 0.5000 0.5000 0.0000  4 Sr 3.61, 8 Cd 3.72
Cd 0.0000 0.5000 0.5000  2 Ni 2.55
Cd 0.5000 0.0000 0.5000  2 Ni 2.55
Ni 0.0000 0.0000 0.5000  4 Cd 2.55, 2 Sr 2.71